[1]
VASP calculation (PBE) on a relaxed structure of Ac2DyCl.

The space group is R-3m (No. 166, hexagonal axes) and the conventional cell measures 3.8912, 3.8912 and 32.9751 Å, with angles of 90.00, 90.00 and 120.00 degrees. The asymmetric unit holds Ac at (0.0000, 0.0000, 0.2415), Dy at (0.0000, 0.0000, 0.0000) and Cl at (0.0000, 0.0000, 0.5000).

The value obtained for the formation energy without anion corrections is -2.5 eV/f.u.

=====

[2]
VASP calculation (PBE) on a relaxed structure of Tb9Pm2Dy.

The space group is P4/mmm (No. 123) and the conventional cell measures 5.053, 5.053 and 15.160 Å, with angles of 90.00, 90.00 and 90.00 degrees. The asymmetric unit holds Tb at (0.000, 0.000, 0.000), Tb at (0.000, 0.000, 0.332), Tb at (0.000, 0.500, 0.165), Tb at (0.000, 0.500, 0.500), Pm at (0.500, 0.500, 0.333) and Dy at (0.500, 0.500, 0.000).

The formation energy is 0.019 eV per atom.

=====

[3]
VASP calculation (PBE) on a relaxed structure of BaSc2Br.

The space group is R-3m (No. 166, hexagonal axes) and the conventional cell measures 3.6652, 3.6652 and 33.8546 Å, with angles of 90.00, 90.00 and 120.00 degrees. The asymmetric unit holds Ba at (0.0000, 0.0000, 0.0000), Sc at (0.0000, 0.0000, 0.4233) and Br at (0.0000, 0.0000, 0.5000).

The value obtained for the formation energy without anion corrections is -0.3 eV/f.u.

=====

[4]
VASP calculation (PBE) on a relaxed structure of HoBe3B3.

The space group is P2_1/m (No. 11) and the conventional cell measures 7.135, 3.066 and 7.262 Å, with angles of 90.00, 92.18 and 90.00 degrees. The asymmetric unit holds Ho at (0.229, 0.250, 0.269), Be at (0.109, 0.250, 0.819), Be at (0.188, 0.750, 0.614), Be at (0.395, 0.250, 0.677), B at (0.012, 0.250, 0.564), B at (0.046, 0.750, 0.981) and B at (0.438, 0.750, 0.510).

The formation energy is -0.090 eV per atom.

=====

[5]
VASP calculation (PBE) on a relaxed structure of NaGeTeN2.

The space group is P4/mmm (No. 123) and the conventional cell measures 4.067, 4.067 and 5.699 Å, with angles of 90.00, 90.00 and 90.00 degrees. The asymmetric unit holds Na at (0.000, 0.000, 0.000), Ge at (0.500, 0.500, 0.500), Te at (0.500, 0.500, 0.000) and N at (0.000, 0.500, 0.500).

The value obtained for the formation energy without anion corrections is 5.0 eV/f.u.

=====

[6]
VASP calculation (PBE) on a relaxed structure of Ac2SF.

The space group is P4/mmm (No. 123) and the conventional cell measures 5.112, 5.112 and 3.749 Å, with angles of 90.00, 90.00 and 90.00 degrees. The asymmetric unit holds Ac at (0.000, 0.500, 0.000), S at (0.000, 0.000, 0.500) and F at (0.500, 0.500, 0.500).

The value obtained for the formation energy without anion corrections is -6.8 eV/f.u.

=====

[7]
VASP calculation (PBE) on a relaxed structure of Zr3ZnPd12.

The space group is P4/mmm (No. 123) and the conventional cell measures 4.023, 4.023 and 15.898 Å, with angles of 90.00, 90.00 and 90.00 degrees. The asymmetric unit holds Zr at (0.000, 0.000, 0.000), Zr at (0.000, 0.000, 0.258), Zn at (0.000, 0.000, 0.500), Pd at (0.000, 0.500, 0.126), Pd at (0.000, 0.500, 0.379), Pd at (0.500, 0.500, 0.000), Pd at (0.500, 0.500, 0.252) and Pd at (0.500, 0.500, 0.500).

The formation energy is -0.707 eV per atom.

=====

[8]
VASP calculation (PBE) on a relaxed structure of ReBi.

The space group is P4_2/mnm (No. 136) and the conventional cell measures 6.486, 6.486 and 5.248 Å, with angles of 90.00, 90.00 and 90.00 degrees. The asymmetric unit holds Re at (0.122, 0.122, 0.000) and Bi at (0.209, 0.209, 0.500).

The formation energy is 1.212 eV per atom.